VASP calculation (GGA-PBE) on a relaxed structure of Cs2Cd2I.

```
Cs2Cd2I
1.0
-3.667 3.667 5.304
3.667 -3.667 5.304
3.667 3.667 -5.304
Cs Cd I
2 2 1
Cartesian
3.667 0.000 2.652
0.000 3.667 2.652
0.000 0.000 1.492
0.000 0.000 9.116
0.000 0.000 5.304
```

As for the spin magnetization: 0.0 μB per cell. The calculation puts the formation energy (no corrections) at -1.67 eV per formula unit.